--- 1 ---
# MgI2O2 GGA-PBE relaxed
data_MgI2O2
_chemical_formula_sum 'Mg1 I2 O2'
_space_group_name_H-M_alt 'P 1'
_space_group_IT_number 1
_cell_length_a 4.145
_cell_length_b 4.145
_cell_length_c 7.726
_cell_angle_alpha 90.00
_cell_angle_beta 90.00
_cell_angle_gamma 90.00
loop_
_space_group_symop_operation_xyz
'x,y,z'
loop_
_atom_site_label
_atom_site_fract_x
_atom_site_fract_y
_atom_site_fract_z
Mg1 0.000 0.000 0.000
I1 0.500 0.500 0.000
I2 0.500 0.500 0.500
O1 0.000 0.500 0.500
O2 0.500 0.000 0.500
# - Symmetry: P4/mmm, No. 123
# - Calculated volume: 132.72 Å³ per cell

---

--- 2 ---
# MgI2O2 GGA-PBE relaxed
data_MgI2O2
_chemical_formula_sum 'Mg1 I2 O2'
_space_group_name_H-M_alt 'P 1'
_space_group_IT_number 1
_cell_length_a 4.247
_cell_length_b 4.247
_cell_length_c 6.770
_cell_angle_alpha 90.00
_cell_angle_beta 90.00
_cell_angle_gamma 90.00
loop_
_space_group_symop_operation_xyz
'x,y,z'
loop_
_atom_site_label
_atom_site_fract_x
_atom_site_fract_y
_atom_site_fract_z
Mg1 0.000 0.000 0.000
I1 0.000 0.000 0.500
I2 0.500 0.500 0.500
O1 0.000 0.500 0.000
O2 0.500 0.000 0.000
# - Symmetry: P4/mmm, No. 123
# - Calculated volume: 122.13 Å³ per cell

---

--- 3 ---
# MgI2O2 GGA-PBE relaxed
data_MgI2O2
_chemical_formula_sum 'Mg1 I2 O2'
_space_group_name_H-M_alt 'P 1'
_space_group_IT_number 1
_cell_length_a 5.756
_cell_length_b 5.756
_cell_length_c 3.620
_cell_angle_alpha 90.00
_cell_angle_beta 90.00
_cell_angle_gamma 90.00
loop_
_space_group_symop_operation_xyz
'x,y,z'
loop_
_atom_site_label
_atom_site_fract_x
_atom_site_fract_y
_atom_site_fract_z
Mg1 0.000 0.000 0.000
I1 0.000 0.500 0.000
I2 0.500 0.000 0.000
O1 0.000 0.000 0.500
O2 0.500 0.500 0.500
# - Symmetry: P4/mmm, No. 123
# - Calculated volume: 119.93 Å³ per cell

---

--- 4 ---
# MgI2O2 GGA-PBE relaxed
data_MgI2O2
_chemical_formula_sum 'Mg1 I2 O2'
_space_group_name_H-M_alt 'P 1'
_space_group_IT_number 1
_cell_length_a 4.879
_cell_length_b 4.879
_cell_length_c 4.118
_cell_angle_alpha 90.00
_cell_angle_beta 90.00
_cell_angle_gamma 90.00
loop_
_space_group_symop_operation_xyz
'x,y,z'
loop_
_atom_site_label
_atom_site_fract_x
_atom_site_fract_y
_atom_site_fract_z
Mg1 0.000 0.000 0.000
I1 0.000 0.500 0.500
I2 0.500 0.000 0.500
O1 0.500 0.500 0.000
O2 0.500 0.500 0.500
# - Symmetry: P4/mmm, No. 123
# - Calculated volume: 98.03 Å³ per cell

---

Quick one: most stable of them? 2

---

--- 1 ---
# MgOsI2O GGA-PBE relaxed
data_MgOsI2O
_chemical_formula_sum 'Mg1 Os1 I2 O1'
_space_group_name_H-M_alt 'P 1'
_space_group_IT_number 1
_cell_length_a 5.503
_cell_length_b 5.503
_cell_length_c 3.563
_cell_angle_alpha 90.00
_cell_angle_beta 90.00
_cell_angle_gamma 90.00
loop_
_space_group_symop_operation_xyz
'x,y,z'
loop_
_atom_site_label
_atom_site_fract_x
_atom_site_fract_y
_atom_site_fract_z
Mg1 0.000 0.000 0.000
Os1 0.500 0.500 0.500
I1 0.000 0.500 0.000
I2 0.500 0.000 0.000
O1 0.000 0.000 0.500
# - Symmetry: P4/mmm, No. 123
# - Calculated volume: 107.88 Å³ per cell

---

--- 2 ---
# MgOsI2O GGA-PBE relaxed
data_MgOsI2O
_chemical_formula_sum 'Mg1 Os1 I2 O1'
_space_group_name_H-M_alt 'P 1'
_space_group_IT_number 1
_cell_length_a 5.644
_cell_length_b 5.644
_cell_length_c 3.768
_cell_angle_alpha 90.00
_cell_angle_beta 90.00
_cell_angle_gamma 90.00
loop_
_space_group_symop_operation_xyz
'x,y,z'
loop_
_atom_site_label
_atom_site_fract_x
_atom_site_fract_y
_atom_site_fract_z
Mg1 0.000 0.000 0.000
Os1 0.500 0.500 0.500
I1 0.000 0.500 0.500
I2 0.500 0.000 0.500
O1 0.500 0.500 0.000
# - Symmetry: P4/mmm, No. 123
# - Calculated volume: 120.02 Å³ per cell

---

Quick one: most stable of them? 2

---

--- 1 ---
# MgOsIO2 GGA-PBE relaxed
data_MgOsIO2
_chemical_formula_sum 'Mg1 Os1 I1 O2'
_space_group_name_H-M_alt 'P 1'
_space_group_IT_number 1
_cell_length_a 3.932
_cell_length_b 3.932
_cell_length_c 5.956
_cell_angle_alpha 90.00
_cell_angle_beta 90.00
_cell_angle_gamma 90.00
loop_
_space_group_symop_operation_xyz
'x,y,z'
loop_
_atom_site_label
_atom_site_fract_x
_atom_site_fract_y
_atom_site_fract_z
Mg1 0.000 0.000 0.000
Os1 0.500 0.500 0.500
I1 0.000 0.000 0.500
O1 0.000 0.500 0.000
O2 0.500 0.000 0.000
# - Symmetry: P4/mmm, No. 123
# - Calculated volume: 92.08 Å³ per cell

---

--- 2 ---
# MgOsIO2 GGA-PBE relaxed
data_MgOsIO2
_chemical_formula_sum 'Mg1 Os1 I1 O2'
_space_group_name_H-M_alt 'P 1'
_space_group_IT_number 1
_cell_length_a 3.835
_cell_length_b 3.835
_cell_length_c 7.761
_cell_angle_alpha 90.00
_cell_angle_beta 90.00
_cell_angle_gamma 90.00
loop_
_space_group_symop_operation_xyz
'x,y,z'
loop_
_atom_site_label
_atom_site_fract_x
_atom_site_fract_y
_atom_site_fract_z
Mg1 0.000 0.000 0.000
Os1 0.500 0.500 0.500
I1 0.500 0.500 0.000
O1 0.000 0.500 0.500
O2 0.500 0.000 0.500
# - Symmetry: P4/mmm, No. 123
# - Calculated volume: 114.13 Å³ per cell

---

Quick one: most stable of them? 2

---

--- 1 ---
# MgPdI2O GGA-PBE relaxed
data_MgPdI2O
_chemical_formula_sum 'Mg1 Pd1 I2 O1'
_space_group_name_H-M_alt 'P 1'
_space_group_IT_number 1
_cell_length_a 5.633
_cell_length_b 5.633
_cell_length_c 3.928
_cell_angle_alpha 90.00
_cell_angle_beta 90.00
_cell_angle_gamma 90.00
loop_
_space_group_symop_operation_xyz
'x,y,z'
loop_
_atom_site_label
_atom_site_fract_x
_atom_site_fract_y
_atom_site_fract_z
Mg1 0.000 0.000 0.000
Pd1 0.500 0.500 0.500
I1 0.000 0.500 0.500
I2 0.500 0.000 0.500
O1 0.500 0.500 0.000
# - Symmetry: P4/mmm, No. 123
# - Calculated volume: 124.66 Å³ per cell

---

--- 2 ---
# MgPdI2O GGA-PBE relaxed
data_MgPdI2O
_chemical_formula_sum 'Mg1 Pd1 I2 O1'
_space_group_name_H-M_alt 'P 1'
_space_group_IT_number 1
_cell_length_a 5.767
_cell_length_b 5.767
_cell_length_c 3.650
_cell_angle_alpha 90.00
_cell_angle_beta 90.00
_cell_angle_gamma 90.00
loop_
_space_group_symop_operation_xyz
'x,y,z'
loop_
_atom_site_label
_atom_site_fract_x
_atom_site_fract_y
_atom_site_fract_z
Mg1 0.000 0.000 0.000
Pd1 0.500 0.500 0.500
I1 0.000 0.500 0.000
I2 0.500 0.000 0.000
O1 0.000 0.000 0.500
# - Symmetry: P4/mmm, No. 123
# - Calculated volume: 121.38 Å³ per cell

---

Quick one: most stable of them? 2

---

--- 1 ---
# MgPtIO2 GGA-PBE relaxed
data_MgPtIO2
_chemical_formula_sum 'Mg1 Pt1 I1 O2'
_space_group_name_H-M_alt 'P 1'
_space_group_IT_number 1
_cell_length_a 3.841
_cell_length_b 3.841
_cell_length_c 7.357
_cell_angle_alpha 90.00
_cell_angle_beta 90.00
_cell_angle_gamma 90.00
loop_
_space_group_symop_operation_xyz
'x,y,z'
loop_
_atom_site_label
_atom_site_fract_x
_atom_site_fract_y
_atom_site_fract_z
Mg1 0.000 0.000 0.000
Pt1 0.500 0.500 0.500
I1 0.000 0.000 0.500
O1 0.000 0.500 0.000
O2 0.500 0.000 0.000
# - Symmetry: P4/mmm, No. 123
# - Calculated volume: 108.53 Å³ per cell

---

--- 2 ---
# MgPtIO2 GGA-PBE relaxed
data_MgPtIO2
_chemical_formula_sum 'Mg1 Pt1 I1 O2'
_space_group_name_H-M_alt 'P 1'
_space_group_IT_number 1
_cell_length_a 4.071
_cell_length_b 4.071
_cell_length_c 5.557
_cell_angle_alpha 90.00
_cell_angle_beta 90.00
_cell_angle_gamma 90.00
loop_
_space_group_symop_operation_xyz
'x,y,z'
loop_
_atom_site_label
_atom_site_fract_x
_atom_site_fract_y
_atom_site_fract_z
Mg1 0.000 0.000 0.000
Pt1 0.500 0.500 0.500
I1 0.500 0.500 0.000
O1 0.000 0.500 0.500
O2 0.500 0.000 0.500
# - Symmetry: P4/mmm, No. 123
# - Calculated volume: 92.10 Å³ per cell

---

Quick one: most stable of them? 1

---

--- 1 ---
# MgPtI2O GGA-PBE relaxed
data_MgPtI2O
_chemical_formula_sum 'Mg1 Pt1 I2 O1'
_space_group_name_H-M_alt 'P 1'
_space_group_IT_number 1
_cell_length_a 5.702
_cell_length_b 5.702
_cell_length_c 3.870
_cell_angle_alpha 90.00
_cell_angle_beta 90.00
_cell_angle_gamma 90.00
loop_
_space_group_symop_operation_xyz
'x,y,z'
loop_
_atom_site_label
_atom_site_fract_x
_atom_site_fract_y
_atom_site_fract_z
Mg1 0.000 0.000 0.000
Pt1 0.500 0.500 0.500
I1 0.000 0.500 0.500
I2 0.500 0.000 0.500
O1 0.500 0.500 0.000
# - Symmetry: P4/mmm, No. 123
# - Calculated volume: 125.84 Å³ per cell

---

--- 2 ---
# MgPtI2O GGA-PBE relaxed
data_MgPtI2O
_chemical_formula_sum 'Mg1 Pt1 I2 O1'
_space_group_name_H-M_alt 'P 1'
_space_group_IT_number 1
_cell_length_a 5.656
_cell_length_b 5.656
_cell_length_c 3.620
_cell_angle_alpha 90.00
_cell_angle_beta 90.00
_cell_angle_gamma 90.00
loop_
_space_group_symop_operation_xyz
'x,y,z'
loop_
_atom_site_label
_atom_site_fract_x
_atom_site_fract_y
_atom_site_fract_z
Mg1 0.000 0.000 0.000
Pt1 0.500 0.500 0.500
I1 0.000 0.500 0.000
I2 0.500 0.000 0.000
O1 0.000 0.000 0.500
# - Symmetry: P4/mmm, No. 123
# - Calculated volume: 115.82 Å³ per cell

---

Quick one: most stable of them? 1